Entry 1:
# TiGaOs3

An optimized crystal structure of TiGaOs3 (PBE, Alexandria).

a = 4.555 Å, b = 4.555 Å, c = 4.555 Å
α = 90.00°, β = 90.00°, γ = 90.00°
Space group Pm-3m (No. 221)
Asymmetric unit:
Ti: 0.000 0.000 0.000 x1
Ga: 0.500 0.500 0.500 x1
Os: 0.000 0.000 0.500 x3

Properties
Excess energy over the best structure of this formula in the dataset in meV per atom: 389
Crystal system: cubic
Density of states at the Fermi level in states/eV/f.u.: 5.50
Final energy in eV/atom: -7.141

***

Entry 2:
# Ti4GaOs3

An optimized crystal structure of Ti4GaOs3 (PBE, Alexandria).

a = 3.114 Å, b = 3.114 Å, c = 12.371 Å
α = 90.00°, β = 90.00°, γ = 90.00°
Space group P4/mmm (No. 123)
Asymmetric unit:
Ti: 0.000 0.000 0.123 x2
Ti: 0.000 0.000 0.370 x2
Ga: 0.500 0.500 0.500 x1
Os: 0.500 0.500 0.000 x1
Os: 0.500 0.500 0.250 x2

Properties
Crystal system: tetragonal
Density of states at the Fermi level in states/eV/f.u.: 2.91
Final energy in eV/atom: -9.158

***

Entry 3:
# Ti2GaOs2

An optimized crystal structure of Ti2GaOs2 (PBE, Alexandria).

a = 7.257 Å, b = 7.257 Å, c = 3.052 Å
α = 90.00°, β = 90.00°, γ = 90.00°
Space group P4/mbm (No. 127)
Asymmetric unit:
Ti: 0.154 0.346 0.000 x4
Ga: 0.000 0.000 0.500 x2
Os: 0.145 0.645 0.500 x4

Properties
Crystal system: tetragonal
Density of states at the Fermi level in states/eV/f.u.: 4.13
Final energy in eV/atom: -8.458

***

Entry 4:
# TiGaOs3

An optimized crystal structure of TiGaOs3 (PBE, Alexandria).

a = 4.462 Å, b = 4.462 Å, c = 4.462 Å
α = 90.00°, β = 90.00°, γ = 90.00°
Space group Pm-3m (No. 221)
Asymmetric unit:
Ti: 0.000 0.000 0.000 x1
Ga: 0.500 0.500 0.500 x1
Os: 0.000 0.500 0.500 x3

Properties
Excess energy over the best structure of this formula in the dataset in meV per atom: 0
Crystal system: cubic
Density of states at the Fermi level in states/eV/f.u.: 3.74
Final energy in eV/atom: -7.531

***

Entry 5:
# Ti3GaOs2

An optimized crystal structure of Ti3GaOs2 (PBE, Alexandria).

a = 3.129 Å, b = 3.129 Å, c = 9.241 Å
α = 90.00°, β = 90.00°, γ = 90.00°
Space group P4/mmm (No. 123)
Asymmetric unit:
Ti: 0.000 0.000 0.000 x1
Ti: 0.000 0.000 0.326 x2
Ga: 0.500 0.500 0.500 x1
Os: 0.500 0.500 0.167 x2

Properties
Crystal system: tetragonal
Density of states at the Fermi level in states/eV/f.u.: 2.53
Final energy in eV/atom: -8.785

***

Entry 6:
# TiGa2Os2

An optimized crystal structure of TiGa2Os2 (PBE, Alexandria).

a = 7.049 Å, b = 7.049 Å, c = 3.100 Å
α = 90.00°, β = 90.00°, γ = 90.00°
Space group P4/mbm (No. 127)
Asymmetric unit:
Ti: 0.000 0.000 0.000 x2
Ga: 0.157 0.343 0.500 x4
Os: 0.142 0.642 0.000 x4

Properties
Crystal system: tetragonal
Density of states at the Fermi level in states/eV/f.u.: 2.21
Final energy in eV/atom: -7.332

***

Entry 7:
# Ti6GaOs

An optimized crystal structure of Ti6GaOs (PBE, Alexandria).

a = 4.393 Å, b = 6.507 Å, c = 9.027 Å
α = 90.00°, β = 90.00°, γ = 90.00°
Space group Amm2 (No. 38)
Asymmetric unit:
Ti: 0.000 0.000 0.000 x2
Ti: 0.000 0.231 0.272 x4
Ti: 0.500 0.000 0.792 x2
Ti: 0.500 0.246 0.031 x4
Ga: 0.000 0.000 0.536 x2
Os: 0.500 0.000 0.275 x2

Properties
Crystal system: orthorhombic
Density of states at the Fermi level in states/eV/f.u.: 8.88
Final energy in eV/atom: -7.978

***

Entry 8:
# Ti3GaOs

An optimized crystal structure of Ti3GaOs (PBE, Alexandria).

a = 4.739 Å, b = 4.739 Å, c = 4.739 Å
α = 90.00°, β = 90.00°, γ = 90.00°
Space group Pm-3m (No. 221)
Asymmetric unit:
Ti: 0.000 0.000 0.500 x3
Ga: 0.500 0.500 0.500 x1
Os: 0.000 0.000 0.000 x1

Properties
Excess energy over the best structure of this formula in the dataset in meV per atom: 0
Crystal system: cubic
Density of states at the Fermi level in states/eV/f.u.: 7.67
Final energy in eV/atom: -7.165

***

Entry 9:
# Tl2GaOs

An optimized crystal structure of Tl2GaOs (PBE, Alexandria).

a = 4.106 Å, b = 4.106 Å, c = 20.749 Å
α = 90.00°, β = 90.00°, γ = 90.00°
Space group I-42d (No. 122)
Asymmetric unit:
Tl: 0.245 0.250 0.125 x8
Ga: 0.000 0.000 0.500 x4
Os: 0.000 0.000 0.000 x4

Properties
Excess energy over the best structure of this formula in the dataset in meV per atom: 49
Crystal system: tetragonal
Density of states at the Fermi level in states/eV/f.u.: 4.59
Final energy in eV/atom: -3.810

***

Entry 10:
# Tl2GaOs

An optimized crystal structure of Tl2GaOs (PBE, Alexandria).

a = 6.937 Å, b = 6.937 Å, c = 6.937 Å
α = 90.00°, β = 90.00°, γ = 90.00°
Space group Fm-3m (No. 225)
Asymmetric unit:
Tl: 0.250 0.250 0.250 x8
Ga: 0.000 0.000 0.000 x4
Os: 0.000 0.000 0.500 x4

Properties
Excess energy over the best structure of this formula in the dataset in meV per atom: 0
Crystal system: cubic
Density of states at the Fermi level in states/eV/f.u.: 2.78
Final energy in eV/atom: -3.859

***

Entry 11:
# Tl3GaOs

An optimized crystal structure of Tl3GaOs (PBE, Alexandria).

a = 5.296 Å, b = 5.296 Å, c = 5.296 Å
α = 90.00°, β = 90.00°, γ = 90.00°
Space group Pm-3m (No. 221)
Asymmetric unit:
Tl: 0.000 0.000 0.500 x3
Ga: 0.000 0.000 0.000 x1
Os: 0.500 0.500 0.500 x1

Properties
Excess energy over the best structure of this formula in the dataset in meV per atom: 873
Crystal system: cubic
Density of states at the Fermi level in states/eV/f.u.: 5.38
Final energy in eV/atom: -2.856

***

Entry 12:
# Tl3GaOs

An optimized crystal structure of Tl3GaOs (PBE, Alexandria).

a = 5.316 Å, b = 5.316 Å, c = 5.316 Å
α = 90.00°, β = 90.00°, γ = 90.00°
Space group Pm-3m (No. 221)
Asymmetric unit:
Tl: 0.000 0.000 0.500 x3
Ga: 0.500 0.500 0.500 x1
Os: 0.000 0.000 0.000 x1

Properties
Excess energy over the best structure of this formula in the dataset in meV per atom: 0
Crystal system: cubic
Density of states at the Fermi level in states/eV/f.u.: 3.51
Final energy in eV/atom: -3.729